## VIn2Ga (PBE)

Data for VIn2Ga after structural relaxation.

a b c (Å): 5.578 4.461 13.528
angles (deg): 90.00 94.63 90.00
Element x y z (fractional)
1 V 0.971 0.000 0.581
2 V 0.029 0.000 0.419
3 V 0.971 0.500 0.081
4 V 0.029 0.500 0.919
5 Ga 0.764 0.000 0.014
6 Ga 0.236 0.000 0.986
7 Ga 0.764 0.500 0.514
8 Ga 0.236 0.500 0.486
9 In 0.131 0.000 0.206
10 In 0.869 0.000 0.794
11 In 0.131 0.500 0.706
12 In 0.869 0.500 0.294
13 In 0.525 0.000 0.380
14 In 0.475 0.000 0.620
15 In 0.525 0.500 0.880
16 In 0.475 0.500 0.120

E: -4.281 eV/atom
ρ: 6.9 g/cm³



## LuBi2Au (PBE)

Data for LuBi2Au after structural relaxation.

a b c (Å): 4.277 4.890 4.890
angles (deg): 90.00 90.00 90.00
Element x y z (fractional)
1 Lu 0.500 0.000 0.000
2 Au 0.500 0.500 0.500
3 Bi 0.000 0.000 0.500
4 Bi 0.000 0.500 0.000

E: -4.254 eV/atom
ρ: 12.8 g/cm³



## Ho2Al3Ag4 (PBE)

Data for Ho2Al3Ag4 after structural relaxation.

a b c (Å): 5.711 7.904 8.417
angles (deg): 90.00 109.83 90.00
Element x y z (fractional)
1 Ho 0.103 0.601 0.205
2 Ho 0.897 0.399 0.795
3 Ho 0.397 0.101 0.795
4 Ho 0.603 0.899 0.205
5 Al 0.000 0.000 0.000
6 Al 0.500 0.500 0.000
7 Al 0.513 0.750 0.526
8 Al 0.987 0.250 0.474
9 Al 0.487 0.250 0.474
10 Al 0.013 0.750 0.526
11 Ag 0.684 0.750 0.868
12 Ag 0.816 0.250 0.132
13 Ag 0.316 0.250 0.132
14 Ag 0.184 0.750 0.868
15 Ag 0.177 0.984 0.355
16 Ag 0.823 0.016 0.645
17 Ag 0.323 0.484 0.645
18 Ag 0.677 0.516 0.355

E: -3.825 eV/atom
ρ: 7.8 g/cm³



## Be2GaAs (PBE)

Data for Be2GaAs after structural relaxation.

a b c (Å): 4.285 4.285 4.285
angles (deg): 60.00 60.00 60.00
Element x y z (fractional)
1 Be 0.250 0.250 0.250
2 Be 0.750 0.750 0.750
3 As 0.500 0.500 0.500
4 Ga 0.000 0.000 0.000

E: -3.257 eV/atom
ρ: 4.9 g/cm³
Energy relative to the lowest polymorph listed for this composition: 0.162 eV/atom



Question: E of number 4 (Be2GaAs)?
Answer: -3.257 eV/atom